VASP calculation (PBE+U) on CoAsIr2O after structural relaxation.

Cell: 4.7227 4.7227 3.3128 Å, 90.00 90.00 90.00°
Last column: nearest neighbours and their distance in Å.
Element x y z (fractional)
Co: 0.0000 0.0000 0.0000  2 O 1.66
As: 0.5000 0.5000 0.5000  8 Ir 2.88
Ir: 0.0000 0.5000 0.0000  2 Co 2.36
Ir: 0.5000 0.0000 0.0000  2 Co 2.36
O: 0.0000 0.0000 0.5000  2 Co 1.66

Calculated values
Magnetization, μB per cell: 2.21
DFT total energy, eV for the cell shown: -28.59
Space-group type: No. 123